Entry 1:
Compound: Pu2ThBi
Source: Alexandria
Functional: PBE
Structure: optimized geometry

The space group is P4/mmm (No. 123) and the conventional cell measures 4.769, 4.769 and 4.941 Å, with angles of 90.00, 90.00 and 90.00 degrees. The distinct sites, in fractional coordinates, are Pu at (0.000, 0.500, 0.000), Th at (0.000, 0.000, 0.500) and Bi at (0.500, 0.500, 0.500).

Its volume is 112.4 Å³/cell. For the formation energy, the calculation gives -0.8 eV per formula unit. The density of states at the Fermi level is 2.53 states/eV per atom. The value obtained for the total moment is 11.9 μB/cell. The total energy comes out at -10.20 eV/atom.

Entry 2:
Compound: K2NbBi
Source: Alexandria
Functional: PBE
Structure: optimized geometry

The space group is I-42d (No. 122) and the conventional cell measures 13.095, 13.095 and 5.585 Å, with angles of 90.00, 90.00 and 90.00 degrees. The distinct sites, in fractional coordinates, are K at (0.079, 0.250, 0.125), Nb at (0.000, 0.000, 0.500) and Bi at (0.000, 0.000, 0.000).

Its volume is 957.6 Å³/cell. For the formation energy, the calculation gives 2.6 eV per formula unit. The density of states at the Fermi level is 0.70 states/eV per atom. The value obtained for the total moment is 14.5 μB/cell. The total energy comes out at -3.38 eV/atom.

Entry 3:
Compound: Dy7YTl4
Source: Alexandria
Functional: PBE
Structure: optimized geometry

The space group is C2/m (No. 12) and the conventional cell measures 14.916, 5.770 and 9.870 Å, with angles of 90.00, 121.91 and 90.00 degrees. The distinct sites, in fractional coordinates, are Dy at (0.000, 0.000, 0.000), Dy at (0.067, 0.500, 0.406), Dy at (0.206, 0.500, 0.879), Dy at (0.240, 0.000, 0.690), Y at (0.000, 0.500, 0.000), Tl at (0.049, 0.000, 0.716) and Tl at (0.185, 0.000, 0.337).

Its volume is 721.1 Å³/cell. For the formation energy, the calculation gives -0.1 eV per formula unit. The density of states at the Fermi level is 1.14 states/eV per atom. The value obtained for the total moment is 0.0 μB/cell. The total energy comes out at -4.02 eV/atom.

Entry 4:
Compound: ZnMo
Source: Alexandria
Functional: PBE
Structure: optimized geometry

The space group is P6_3/mmc (No. 194) and the conventional cell measures 4.2882, 4.2882 and 5.0504 Å, with angles of 90.00, 90.00 and 120.00 degrees. The distinct sites, in fractional coordinates, are Zn at (0.3333, 0.6667, 0.2500) and Mo at (0.3333, 0.6667, 0.7500).

Its volume is 80.4 Å³/cell. For the formation energy, the calculation gives 2.9 eV per formula unit. The density of states at the Fermi level is 0.78 states/eV per atom. The value obtained for the total moment is 0.0 μB/cell. The total energy comes out at -4.59 eV/atom.

Q: Number 1 is which compound?
A: Pu2ThBi

Q: Which of these has the highest total moment?
A: K2NbBi